[1]
Here is a relaxed Rb2LaNdO4 crystal from Alexandria via LeMat-Bulk. Energies are from GGA-PBE.

Calculated values
The calculation puts the density at 5.5 Mg/m³. The value obtained for the calculated volume is 158 Å³/cell. Its uncorrected formation energy is -2.585 eV per atom. Its raw total energy is -52.15 eV per cell.

a b c (Å): 3.7108 6.4274 6.9465
angles (deg): 107.98 90.00 90.00
Fractional positions:
O  0.5000  0.7761  0.8190
O  0.5000  0.2239  0.1810
O  0.0000  0.2699  0.8195
O  0.0000  0.7301  0.1805
Nd  0.0000  0.0000  0.0000
Rb  0.0000  0.5000  0.5000
Rb  0.5000  0.0000  0.5000
La  0.5000  0.5000  0.0000



[2]
Here is a relaxed Rb3La2NdO6 crystal from Alexandria via LeMat-Bulk. Energies are from GGA-PBE.

Calculated values
The calculation puts the density at 5.4 Mg/m³. The value obtained for the calculated volume is 238 Å³/cell. Its uncorrected formation energy is -2.596 eV per atom. Its raw total energy is -78.42 eV per cell.

a b c (Å): 6.4519 6.4519 6.9442
angles (deg): 98.90 98.90 120.00
Fractional positions:
O  0.2694  0.2694  0.8193
O  0.7306  0.7306  0.1807
O  0.6102  0.9397  0.8192
O  0.0603  0.3898  0.1808
O  0.9397  0.6102  0.8192
O  0.3898  0.0603  0.1808
Rb  0.5000  0.5000  0.5000
Rb  0.8339  0.1661  0.5000
Rb  0.1661  0.8339  0.5000
La  0.6667  0.3333  0.0000
La  0.3333  0.6667  0.0000
Nd  0.0000  0.0000  0.0000



[3]
Here is a relaxed LaNdS2O crystal from Alexandria via LeMat-Bulk. Energies are from GGA-PBE.

Calculated values
The calculation puts the density at 5.1 Mg/m³. The value obtained for the calculated volume is 236 Å³/cell. Its uncorrected formation energy is -2.543 eV per atom. Its raw total energy is -71.25 eV per cell.

a b c (Å): 4.0540 4.0540 14.3602
angles (deg): 90.00 90.00 90.00
Fractional positions:
La  0.0000  0.5000  0.4133
La  0.5000  0.0000  0.5867
S  0.0000  0.5000  0.6947
S  0.0000  0.5000  0.0920
S  0.5000  0.0000  0.3053
S  0.5000  0.0000  0.9080
O  0.0000  0.0000  0.5000
O  0.5000  0.5000  0.5000
Nd  0.5000  0.0000  0.1251
Nd  0.0000  0.5000  0.8749



[4]
Here is a relaxed La4Nd2Sb3O2 crystal from Alexandria via LeMat-Bulk. Energies are from GGA-PBE.

Calculated values
The calculation puts the density at 6.7 Mg/m³. The value obtained for the calculated volume is 307 Å³/cell. Its uncorrected formation energy is -1.688 eV per atom. Its raw total energy is -70.10 eV per cell.

a b c (Å): 4.8218 4.8218 13.6320
angles (deg): 100.19 100.19 90.00
Fractional positions:
La  0.9168  0.4169  0.8337
La  0.5831  0.0831  0.1663
La  0.4168  0.9169  0.8337
La  0.0832  0.5831  0.1663
Sb  0.8222  0.8222  0.6443
Sb  0.0000  0.0000  0.0000
Sb  0.1778  0.1778  0.3557
Nd  0.6989  0.6989  0.3977
Nd  0.3011  0.3011  0.6023
O  0.3956  0.3956  0.7913
O  0.6044  0.6044  0.2087



[5]
Here is a relaxed LaNdSbO2 crystal from Alexandria via LeMat-Bulk. Energies are from GGA-PBE.

Calculated values
The calculation puts the density at 6.4 Mg/m³. The value obtained for the calculated volume is 113 Å³/cell. Its uncorrected formation energy is -2.651 eV per atom. Its raw total energy is -36.99 eV per cell.

a b c (Å): 4.0304 4.0304 7.5418
angles (deg): 105.50 105.50 90.00
Fractional positions:
O  0.7512  0.2512  0.5025
O  0.2512  0.7512  0.5025
Nd  0.8369  0.8369  0.6739
Sb  0.4972  0.4972  0.9943
La  0.1634  0.1634  0.3269



[6]
Here is a relaxed LaNdSb2O8 crystal from Alexandria via LeMat-Bulk. Energies are from GGA-PBE.

Calculated values
The calculation puts the density at 6.3 Mg/m³. The value obtained for the calculated volume is 172 Å³/cell. Its uncorrected formation energy is -2.305 eV per atom. Its raw total energy is -85.27 eV per cell.

a b c (Å): 5.4286 5.4286 6.9935
angles (deg): 112.84 112.84 90.00
Fractional positions:
La  0.7500  0.2500  0.5000
O  0.7581  0.8333  0.1707
O  0.0878  0.0041  0.6742
O  0.6626  0.2419  0.8293
O  0.9959  0.4135  0.3258
O  0.4126  0.3374  0.1707
O  0.5865  0.6702  0.6742
O  0.1667  0.5874  0.8293
O  0.3298  0.9122  0.3258
Nd  0.0000  0.0000  0.0000
Sb  0.2500  0.7500  0.5000
Sb  0.5000  0.5000  0.0000



[7]
Here is a relaxed La2NdScO6 crystal from Alexandria via LeMat-Bulk. Energies are from GGA-PBE.

Calculated values
The calculation puts the density at 6.1 Mg/m³. The value obtained for the calculated volume is 304 Å³/cell. Its uncorrected formation energy is -3.401 eV per atom. Its raw total energy is -169.42 eV per cell.

a b c (Å): 5.8576 6.0820 8.5391
angles (deg): 90.00 90.64 90.00
Fractional positions:
La  0.5173  0.5492  0.7521
La  0.0173  0.9508  0.2521
La  0.4827  0.4508  0.2479
La  0.9827  0.0492  0.7479
O  0.1298  0.4394  0.7642
O  0.1799  0.2077  0.0739
O  0.3702  0.9394  0.7358
O  0.6298  0.0606  0.2642
O  0.3201  0.7077  0.4261
O  0.7924  0.8169  0.5652
O  0.2924  0.6831  0.0652
O  0.8201  0.7923  0.9261
O  0.6799  0.2923  0.5739
O  0.8702  0.5606  0.2358
O  0.2076  0.1831  0.4348
O  0.7076  0.3169  0.9348
Nd  0.5000  0.0000  0.0000
Nd  0.0000  0.5000  0.5000
Sc  0.5000  0.0000  0.5000
Sc  0.0000  0.5000  0.0000



[8]
Here is a relaxed LaNdSeO2 crystal from Alexandria via LeMat-Bulk. Energies are from GGA-PBE.

Calculated values
The calculation puts the density at 6.4 Mg/m³. The value obtained for the calculated volume is 102 Å³/cell. Its uncorrected formation energy is -3.038 eV per atom. Its raw total energy is -38.28 eV per cell.

a b c (Å): 4.0036 4.0036 6.9665
angles (deg): 106.70 106.70 90.00
Fractional positions:
Se  0.4972  0.4972  0.9943
O  0.2513  0.7513  0.5027
O  0.7513  0.2513  0.5027
Nd  0.8465  0.8465  0.6930
La  0.1537  0.1537  0.3074



[9]
Here is a relaxed La2Nd4Si3O2 crystal from Alexandria via LeMat-Bulk. Energies are from GGA-PBE.

Calculated values
The calculation puts the density at 5.8 Mg/m³. The value obtained for the calculated volume is 278 Å³/cell. Its uncorrected formation energy is -1.405 eV per atom. Its raw total energy is -70.56 eV per cell.

a b c (Å): 4.7436 4.7436 12.7958
angles (deg): 100.68 100.68 90.00
Fractional positions:
O  0.3988  0.3988  0.7976
O  0.6012  0.6012  0.2024
Si  0.0000  0.0000  0.0000
Si  0.1726  0.1726  0.3451
Si  0.8274  0.8274  0.6549
Nd  0.0784  0.5784  0.1567
Nd  0.9216  0.4216  0.8433
Nd  0.5784  0.0784  0.1567
Nd  0.4216  0.9216  0.8433
La  0.3024  0.3024  0.6048
La  0.6976  0.6976  0.3952



[10]
Here is a relaxed La2Nd4Sn3O2 crystal from Alexandria via LeMat-Bulk. Energies are from GGA-PBE.

Calculated values
The calculation puts the density at 6.7 Mg/m³. The value obtained for the calculated volume is 310 Å³/cell. Its uncorrected formation energy is -1.508 eV per atom. Its raw total energy is -67.44 eV per cell.

a b c (Å): 4.8658 4.8658 13.5428
angles (deg): 100.35 100.35 90.00
Fractional positions:
Sn  0.0000  0.0000  0.0000
Sn  0.8247  0.8247  0.6495
Sn  0.1753  0.1753  0.3505
La  0.6932  0.6932  0.3865
La  0.3068  0.3068  0.6135
Nd  0.9188  0.4188  0.8376
Nd  0.0812  0.5812  0.1624
Nd  0.4188  0.9188  0.8376
Nd  0.5812  0.0812  0.1624
O  0.3994  0.3994  0.7988
O  0.6006  0.6006  0.2012



[11]
Here is a relaxed La2Nd2Sn2O crystal from Alexandria via LeMat-Bulk. Energies are from GGA-PBE.

Calculated values
The calculation puts the density at 6.7 Mg/m³. The value obtained for the calculated volume is 203 Å³/cell. Its uncorrected formation energy is -1.320 eV per atom. Its raw total energy is -41.59 eV per cell.

a b c (Å): 4.8184 4.8184 9.3822
angles (deg): 104.88 104.88 90.00
Each line ends with the local moment (μB).
Fractional positions:
Nd  0.0000  0.5000  0.0000  0.10
Nd  0.5000  0.0000  0.0000  0.10
La  0.8267  0.8267  0.6534  0.18
La  0.1733  0.1733  0.3466  0.18
Sn  0.3639  0.3639  0.7278  -0.02
Sn  0.6361  0.6361  0.2722  -0.02
O  0.0000  0.0000  0.0000  -0.01



- Which value of raw total energy does entry 8 give?
  -38.28 eV per cell